ScTaTi: relaxed, PBE-GGA.

Computed properties:
* energy of formation from the pure elements: 0.60 eV/f.u.
* energy above the most stable polymorph in this dataset: 0 meV/atom
* volume: 19.57 A^3/atom
* DOS(E_F): 4.4 states/eV per cell

```
data_ScTaTi
_cell_length_a 3.0128
_cell_length_b 3.0128
_cell_length_c 7.4672
_cell_angle_alpha 90.00
_cell_angle_beta 90.00
_cell_angle_gamma 120.00
_symmetry_space_group_name_H-M 'P 3 m 1'
_symmetry_Int_Tables_number 156
_symmetry_space_group_name_Hall 'P 3 -2"'
loop_
_atom_site_label
_atom_site_fract_x
_atom_site_fract_y
_atom_site_fract_z
Sc1 0.0000 0.0000 0.0000
Ta1 0.3333 0.6667 0.6624
Ti1 0.6667 0.3333 0.3519
```